Entry 1:
Ac2Co2B2C | GGA-PBE | relaxed

For the energy of formation, the calculation gives -0.1513 eV/atom. The value obtained for the density of states at the Fermi level is 3.25 states/eV per cell. As for the symmetry: C2/m, No. 12.

Cell lengths 3.733, 5.574, 6.221 Å; angles 73.02, 72.54, 70.44 degrees
Positions (direct):
Ac1 0.562 0.198 0.679
Ac2 0.438 0.802 0.321
Co1 0.196 0.681 0.928
Co2 0.804 0.319 0.072
B1 0.210 0.380 0.200
B2 0.790 0.620 0.800
C1 0.000 0.000 0.000

Entry 2:
La4Nd5Sc2 | GGA-PBE | relaxed

For the energy of formation, the calculation gives 0.0739 eV/atom. The value obtained for the density of states at the Fermi level is 14.54 states/eV per cell. As for the symmetry: C2/m, No. 12.

Cell lengths 3.679, 9.331, 12.070 Å; angles 66.66, 98.76, 90.00 degrees
Positions (direct):
La1 0.172 0.042 0.343
La2 0.021 0.297 0.041
La3 0.828 0.958 0.657
La4 0.979 0.703 0.959
Nd1 0.876 0.274 0.752
Nd2 0.124 0.726 0.248
Nd3 0.762 0.661 0.524
Nd4 0.500 0.000 0.000
Nd5 0.238 0.339 0.476
Sc1 0.607 0.436 0.214
Sc2 0.393 0.564 0.786

Entry 3:
ThH6Ir3 | GGA-PBE | relaxed

The value obtained for the density of states at the Fermi level is 4.95 states/eV per cell. The energy is -5.642 eV per atom. As for the symmetry: R-3m, No. 166.

Cell lengths 4.757, 4.757, 5.585 Å; angles 90.00, 115.20, 120.00 degrees
Positions (direct):
Th1 0.700 0.850 0.550
H1 0.356 0.404 0.761
H2 0.044 0.748 0.339
H3 0.044 0.296 0.339
H4 0.356 0.952 0.761
H5 0.809 0.404 0.761
H6 0.591 0.296 0.339
Ir1 0.700 0.350 0.050
Ir2 0.286 0.643 0.930
Ir3 0.113 0.057 0.170